Here is a relaxed structure of CaCoNF2 from Alexandria via LeMat-Bulk. Energies are from PBE+U.

Geometry as CIF:
```
data_CaCoNF2
_cell_length_a 4.1693
_cell_length_b 4.1693
_cell_length_c 4.8829
_cell_angle_alpha 90.00
_cell_angle_beta 90.00
_cell_angle_gamma 90.00
_space_group_name_H-M_alt 'P 1'
_space_group_IT_number 1
loop_
_space_group_symop_operation_xyz
'x,y,z'
loop_
_atom_site_label
_atom_site_fract_x
_atom_site_fract_y
_atom_site_fract_z
Ca1 0.0000 0.0000 0.0000
Co1 0.5000 0.5000 0.5000
N1 0.0000 0.0000 0.5000
F1 0.0000 0.5000 0.0000
F2 0.5000 0.0000 0.0000
```

Output
Total energy (eV per atom): -4.5470
Space-group type: P4/mmm (123)